The following is a GGA+U calculation of an optimized crystal structure of BaCoMoO5, from Alexandria.

The structure in CIF format:
```
data_BaCoMoO5
_symmetry_space_group_name_H-M 'P 1'
_symmetry_Int_Tables_number 1
_symmetry_space_group_name_Hall 'P 1'
_cell_length_a 6.0021
_cell_length_b 6.0021
_cell_length_c 7.6208
_cell_angle_alpha 104.03
_cell_angle_beta 104.03
_cell_angle_gamma 106.89
loop_
_atom_site_label
_atom_site_type_symbol
_atom_site_fract_x
_atom_site_fract_y
_atom_site_fract_z
Ba1 Ba 0.1704 0.8296 0.7500
Ba2 Ba 0.8296 0.1704 0.2500
Co1 Co 0.1893 0.8107 0.2500
Co2 Co 0.8107 0.1893 0.7500
Mo1 Mo 0.5000 0.5000 0.0000
Mo2 Mo 0.5000 0.5000 0.5000
O1 O 0.1583 0.2774 0.9077
O2 O 0.2249 0.6027 0.4096
O3 O 0.2774 0.1583 0.4077
O4 O 0.3973 0.7751 0.0904
O5 O 0.4506 0.5494 0.7500
O6 O 0.5494 0.4506 0.2500
O7 O 0.6027 0.2249 0.9096
O8 O 0.7226 0.8417 0.5923
O9 O 0.7751 0.3973 0.5904
O10 O 0.8417 0.7226 0.0923
```

- raw total energy (eV/atom) = -6.72
- spin magnetization (μB/f.u.) = 3.000
- theoretical density (g/cm3) = 5.15